# Ag2HgOs, optimized geometry, DFT PBE-GGA
# total DFT energy (no corrections): -3.67 eV per atom
data_Ag2HgOs
_symmetry_space_group_name_H-M 'P m m 2'
_symmetry_Int_Tables_number 25
_symmetry_space_group_name_Hall 'P 2 -2'
_cell_length_a 2.821
_cell_length_b 4.822
_cell_length_c 5.163
_cell_angle_alpha 90.00
_cell_angle_beta 90.00
_cell_angle_gamma 90.00
loop_
_atom_site_label
_atom_site_fract_x
_atom_site_fract_y
_atom_site_fract_z
Ag1 0.000 0.000 0.000
Ag2 0.500 0.500 0.153
Hg1 0.000 0.500 0.641
Os1 0.500 0.000 0.496